Record 1
## KBaCl3 (PBE-GGA)

Data for a relaxed structure of KBaCl3.

Calculated values
ΔE_f (raw) = -2.22 eV per atom

a b c (Å): 12.6024 11.3182 8.7873
angles (deg): 90.00 90.04 90.00
With the nearest neighbours (Å) after each atom.
Space group C2/c (No. 15)
Asymmetric unit:
K: 0.2488 0.0621 0.3653 x8  5 Cl 3.06-3.29
Ba: 0.0000 0.1541 0.7500 x4  8 Cl 3.18-3.40
Ba: 0.0000 0.3477 0.2500 x4  8 Cl 3.19-3.37
Cl: 0.0782 0.1040 0.0877 x8  3 Ba 3.18-3.40, 2 K 3.29-3.46, 2 Cl 3.44-3.47
Cl: 0.0794 0.3970 0.9118 x8  3 Ba 3.19-3.37, 2 K 3.29-3.47, 2 Cl 3.44-3.48
Cl: 0.2498 0.1689 0.6852 x8  3 K 3.06-3.08, 2 Ba 3.20-3.21

=====

Record 2
## ZnMo2Rh2 (PBE-GGA)

Data for a relaxed structure of ZnMo2Rh2.

Calculated values
calculated formation energy = 0.100 eV per atom

a b c (Å): 7.6447 7.6447 2.7596
angles (deg): 90.00 90.00 90.00
With the nearest neighbours (Å) after each atom.
Space group P4/mbm (No. 127)
Asymmetric unit:
Zn: 0.0000 0.0000 0.0000 x2  2 Zn 2.76, 4 Mo 3.05
Mo: 0.1190 0.3810 0.0000 x4  3 Mo 2.57-2.76, 6 Rh 2.65
Rh: 0.1719 0.6719 0.5000 x4  6 Mo 2.65, 2 Rh 2.76

=====

Record 3
## FePtPb2S (PBE-GGA)

Data for a relaxed structure of FePtPb2S.

Calculated values
ΔE_f (raw) = 0.45 eV per atom

a b c (Å): 5.5141 5.5141 4.1040
angles (deg): 90.00 90.00 90.00
With the nearest neighbours (Å) after each atom.
Space group P4/mmm (No. 123)
Asymmetric unit:
Fe: 0.0000 0.0000 0.0000 x1  2 S 2.05
Pt: 0.5000 0.5000 0.0000 x1  8 Pb 3.44
Pb: 0.0000 0.5000 0.5000 x2  2 S 2.76
S: 0.0000 0.0000 0.5000 x1  2 Fe 2.05

=====

Record 4
## AcMgH6Ru (PBE-GGA)

Data for a relaxed structure of AcMgH6Ru.

Calculated values
total DFT energy (no corrections) = -4.30 eV per atom

a b c (Å): 4.8135 4.8135 4.7227
angles (deg): 90.00 90.00 120.00
With the nearest neighbours (Å) after each atom.
Space group P-6m2 (No. 187)
Asymmetric unit:
Ac: 0.0000 0.0000 0.0000 x1  12 H 2.67
Mg: 0.3333 0.6667 0.5000 x1  6 H 1.97
H: 0.5194 0.0387 0.2420 x6  1 Ru 1.73
Ru: 0.6667 0.3333 0.5000 x1  6 H 1.73

=====

Record 5
## Al2HCl (PBE-GGA)

Data for a relaxed structure of Al2HCl.

Calculated values
total DFT energy (no corrections) = -2.97 eV per atom

a b c (Å): 5.2989 5.2989 10.6433
angles (deg): 90.00 90.00 90.00
With the nearest neighbours (Å) after each atom.
Space group I-42d (No. 122)
Asymmetric unit:
Al: 0.1136 0.2500 0.1250 x8  2 H 1.97
H: 0.0000 0.0000 0.0000 x4  4 Al 1.97
Cl: 0.0000 0.0000 0.5000 x4  4 Al 2.78

=====

Record 6
## CsZnCd2Au2 (PBE-GGA)

Data for a relaxed structure of CsZnCd2Au2.

Calculated values
calculated formation energy = -0.152 eV per atom

a b c (Å): 4.7000 9.2974 8.1027
angles (deg): 90.00 90.00 90.00
With the nearest neighbours (Å) after each atom.
Space group Pmc2_1 (No. 26)
Asymmetric unit:
Cs: 0.0000 0.0289 0.0000 x2  4 Au 3.62-3.82, 2 Zn 3.97, 2 Cd 3.98
Zn: 0.5000 0.3085 0.5765 x2  3 Au 2.64, 1 Cd 2.94
Cd: 0.0000 0.3940 0.3715 x2  4 Au 2.81-2.89, 2 Zn 2.99
Cd: 0.5000 0.3691 0.9329 x2  3 Au 2.78-2.93, 1 Zn 2.94
Au: 0.0000 0.3334 0.7214 x2  2 Zn 2.64, 4 Cd 2.81-2.93
Au: 0.5000 0.2637 0.2542 x2  1 Zn 2.64, 3 Cd 2.78-2.81

=====

Record 7
## Ce2Er5Sb4 (PBE-GGA)

Data for a relaxed structure of Ce2Er5Sb4.

Calculated values
ΔE_f (raw) = -0.42 eV per atom

a b c (Å): 26.1050 4.1079 6.7548
angles (deg): 90.00 90.03 90.00
With the nearest neighbours (Å) after each atom.
Space group C2/m (No. 12)
Asymmetric unit:
Ce: 0.0872 0.0000 0.2883 x4  4 Sb 3.18-3.29
Er: 0.0000 0.5000 0.0000 x2  4 Sb 2.97
Er: 0.1515 0.0000 0.7955 x4  3 Sb 2.98-3.07
Er: 0.2356 0.0000 0.2233 x4  3 Sb 3.11-3.18
Sb: 0.0390 0.0000 0.7201 x4  3 Er 2.97-2.98, 2 Ce 3.18-3.29
Sb: 0.1725 0.5000 0.4681 x4  5 Er 3.07-3.18, 2 Ce 3.26

=====

Record 8
## Ag2POs (PBE-GGA)

Data for a relaxed structure of Ag2POs.

Calculated values
calculated formation energy = 0.119 eV per atom

a b c (Å): 2.9845 2.9845 7.2655
angles (deg): 90.00 90.00 90.00
With the nearest neighbours (Å) after each atom.
Space group P4mm (No. 99)
Asymmetric unit:
Ag: 0.0000 0.0000 0.0000 x1  8 Ag 2.93-2.98, 4 P 2.94, 1 Os 3.12
Ag: 0.5000 0.5000 0.2791 x1  8 Ag 2.93-2.98, 4 Os 2.99, 1 P 3.20
P: 0.5000 0.5000 0.7192 x1  4 Os 2.37
Os: 0.0000 0.0000 0.5701 x1  4 P 2.37

=====

Record 9
## CdIn2Pb2 (PBE-GGA)

Data for a relaxed structure of CdIn2Pb2.

Calculated values
calculated formation energy = 0.018 eV per atom

a b c (Å): 3.4845 3.4845 23.2849
angles (deg): 90.00 90.00 90.00
With the nearest neighbours (Å) after each atom.
Space group I4/mmm (No. 139)
Asymmetric unit:
Cd: 0.0000 0.0000 0.0000 x2  8 In 3.25, 4 Cd 3.48
In: 0.0000 0.0000 0.4087 x4  4 Cd 3.25, 4 Pb 3.46, 4 In 3.48
Pb: 0.0000 0.0000 0.1957 x4  4 In 3.46, 8 Pb 3.48-3.53

=====

Record 10
## ReN3Cl (PBE-GGA)

Data for a relaxed structure of ReN3Cl.

Calculated values
ΔE_f (raw) = 2.92 eV per atom

a b c (Å): 3.6201 3.6201 3.6201
angles (deg): 90.00 90.00 90.00
With the nearest neighbours (Å) after each atom.
Space group Pm-3m (No. 221)
Asymmetric unit:
Re: 0.0000 0.0000 0.0000 x1  12 N 2.56
N: 0.0000 0.5000 0.5000 x3  2 Cl 1.81
Cl: 0.5000 0.5000 0.5000 x1  6 N 1.81

=====

Values of DOS(E_F), in order: 0.0 6.6 4.8 2.0 2.8 3.5 43.4 2.4 3.4 2.6, all in states/eV per cell.
Values of size of the total moment, in order: 0.000 0.000 2.240 0.000 0.000 0.000 7.434 0.000 0.000 0.000, all in Bohr magnetons per cell.